This record from Alexandria via LeMat-Bulk describes a relaxed structure of TbGa2Au. The functional is PBE.

Output
E_tot (eV per cell): -15.80
Volume (Å³/f.u.): 79.10
Energy of formation (meV per atom): -459
Total magnetic moment (μB/f.u.): 0.00

a b c (Å): 4.818 4.818 4.818
angles (deg): 60.00 60.00 60.00
Fractional coordinates of all 4 atoms:
Tb (0.000, 0.000, 0.000)
Au (0.500, 0.500, 0.500)
Ga (0.250, 0.250, 0.250)
Ga (0.750, 0.750, 0.750)


This record from Alexandria via LeMat-Bulk describes a relaxed structure of Tb2GaAu3. The functional is PBE.

Output
E_tot (eV per cell): -26.27
Polymorph energy (0 for the lowest one) (meV per atom): 103
Volume (Å³/f.u.): 137.53
Energy of formation (meV per atom): -691
Total magnetic moment (μB/f.u.): 0.00

a b c (Å): 3.826 4.108 9.190
angles (deg): 102.91 102.02 90.00
Fractional coordinates of all 6 atoms:
Tb (0.123, 0.123, 0.245)
Tb (0.874, 0.374, 0.749)
Ga (0.458, 0.958, 0.915)
Au (0.697, 0.697, 0.394)
Au (0.540, 0.540, 0.080)
Au (0.309, 0.809, 0.617)


This record from Alexandria via LeMat-Bulk describes a relaxed structure of Tb5Ga2Au. The functional is PBE.

Output
E_tot (eV per cell): -73.62
Volume (Å³/f.u.): 208.31
Energy of formation (meV per atom): -541
Total magnetic moment (μB/f.u.): 0.00

a b c (Å): 7.490 7.490 9.122
angles (deg): 114.24 114.24 90.00
Fractional coordinates of all 16 atoms:
Tb (0.524, 0.681, 0.705)
Tb (0.819, 0.976, 0.295)
Tb (0.000, 0.000, 0.000)
Tb (0.500, 0.500, 0.000)
Tb (0.181, 0.024, 0.705)
Tb (0.681, 0.181, 0.705)
Tb (0.024, 0.524, 0.705)
Tb (0.319, 0.819, 0.295)
Tb (0.976, 0.476, 0.295)
Tb (0.476, 0.319, 0.295)
Ga (0.121, 0.379, 0.000)
Ga (0.621, 0.121, 0.000)
Ga (0.379, 0.879, 0.000)
Ga (0.879, 0.621, 0.000)
Au (0.750, 0.750, 0.500)
Au (0.250, 0.250, 0.500)